Computed, not measured: an optimized crystal structure of LiLuCu at the PBE-GGA level of DFT.

It has space group P-6m2 (No. 187), with a = 4.4013 Å, b = 4.4013 Å, c = 3.3439 Å, α = 90.00°, β = 90.00° and γ = 120.00°. Symmetry generates all atoms from Li at (0.0000, 0.0000, 0.0000), Lu at (0.3333, 0.6667, 0.5000) and Cu at (0.6667, 0.3333, 0.0000).

For the formation enthalpy at 0 K, the calculation gives -0.021 eV per atom. The calculated volume comes out at 18.7 Å³/atom. The theoretical density comes out at 7.3 Mg/m³. The relative energy among the computed polymorphs is 56 meV/atom.


Computed, not measured: an optimized crystal structure of LiLuCu at the PBE-GGA level of DFT.

It has space group I4mm (No. 107), with a = 3.453 Å, b = 3.453 Å, c = 9.237 Å, α = 90.00°, β = 90.00° and γ = 90.00°. Symmetry generates all atoms from Li at (0.000, 0.000, 0.000), Lu at (0.000, 0.000, 0.300) and Cu at (0.000, 0.000, 0.636).

For the formation enthalpy at 0 K, the calculation gives -0.077 eV per atom. The calculated volume comes out at 18.4 Å³/atom. The theoretical density comes out at 7.4 Mg/m³. The relative energy among the computed polymorphs is 0 meV/atom.